Record 1
A relaxed BaPb2Se2 crystal. Source: Alexandria via LeMat-Bulk, functional PBE-GGA.

Cell: 8.802 8.802 8.802 Å, 150.73 150.73 41.88°
Atoms (fractional coordinates):
Ba (0.000, 0.000, 0.000)
Pb (0.250, 0.750, 0.500)
Pb (0.750, 0.250, 0.500)
Se (0.404, 0.404, 0.000)
Se (0.596, 0.596, 0.000)

## Properties
* total DFT energy (no corrections): -4.00 eV per atom
* raw formation energy: -0.74 eV per atom
* crystal system: tetragonal
* energy relative to the lowest polymorph listed for this composition: 0.0 kJ per mole of atoms

***

Record 2
A relaxed BaInRe3 crystal. Source: Alexandria via LeMat-Bulk, functional PBE-GGA.

Cell: 5.057 5.057 5.057 Å, 90.00 90.00 90.00°
Atoms (fractional coordinates):
Ba (0.000, 0.000, 0.000)
In (0.500, 0.500, 0.500)
Re (0.000, 0.000, 0.500)
Re (0.000, 0.500, 0.000)
Re (0.500, 0.000, 0.000)

## Properties
* formation energy from the elements: 3.6846 eV per atom
* total DFT energy (no corrections): -4.72 eV per atom
* crystal system: cubic
* energy relative to the lowest polymorph listed for this composition: 117.1 kJ per mole of atoms

***

Record 3
A relaxed LiLaMgS2 crystal. Source: Alexandria via LeMat-Bulk, functional PBE-GGA.

Cell: 4.719 4.719 4.700 Å, 90.00 90.00 90.00°
Atoms (fractional coordinates):
Li (0.000, 0.000, 0.000)
La (0.000, 0.000, 0.500)
Mg (0.500, 0.500, 0.500)
S (0.000, 0.500, 0.000)
S (0.500, 0.000, 0.000)

## Properties
* total DFT energy (no corrections): -3.74 eV per atom
* raw formation energy: -0.40 eV per atom
* crystal system: tetragonal

***

Question: What is the formula in the second record?
Answer: BaInRe3

***

Question: Which of these has the highest total DFT energy (no corrections)?
Answer: LiLaMgS2